1.
{"formula": "AcMgCdPb", "functional": "PBE-GGA", "state": "optimized geometry", "cell": [[0.000, 3.914, 3.914], [3.914, 0.000, 3.914], [3.914, 3.914, 0.000]], "species": ["Ac", "Mg", "Cd", "Pb"], "frac_coords": [[0.000, 0.000, 0.000], [0.500, 0.500, 0.500], [0.750, 0.750, 0.750], [0.250, 0.250, 0.250]], "dos_ef_per_ev_atom": 0.90, "total_magnetization_mub_per_cell": 0.000, "e_tot_ev_per_atom": -2.840, "ef_ev_per_atom": -0.258}

***

2.
{"formula": "Bi2AsCl", "functional": "PBE-GGA", "state": "optimized geometry", "cell": [[4.541, -8.272, 0.000], [4.541, 8.272, 0.000], [-2.715, 0.000, 6.496]], "species": ["Bi", "Bi", "Bi", "Bi", "Bi", "Bi", "Bi", "Bi", "As", "As", "As", "As", "Cl", "Cl", "Cl", "Cl"], "frac_coords": [[0.062, 0.431, 0.817], [0.163, 0.297, 0.191], [0.297, 0.163, 0.691], [0.431, 0.062, 0.317], [0.569, 0.938, 0.683], [0.703, 0.837, 0.309], [0.837, 0.703, 0.809], [0.938, 0.569, 0.183], [0.059, 0.941, 0.250], [0.303, 0.697, 0.250], [0.697, 0.303, 0.750], [0.941, 0.059, 0.750], [0.172, 0.828, 0.750], [0.465, 0.535, 0.750], [0.535, 0.465, 0.250], [0.828, 0.172, 0.250]], "dos_ef_per_ev_atom": 0.52, "total_magnetization_mub_per_cell": 0.000, "e_tot_ev_per_atom": -3.707}